Compound: ZnGa2TeSe3
Source: OQMD via LeMat-Bulk
Functional: GGA-PBE
Structure: relaxed

```
data_ZnGa2TeSe3
_space_group_name_H-M_alt 'P 1'
_space_group_IT_number 1
_space_group_name_Hall 'P 1'
_cell_length_a 5.715
_cell_length_b 5.738
_cell_length_c 6.859
_cell_angle_alpha 113.43
_cell_angle_beta 113.66
_cell_angle_gamma 91.10
loop_
_atom_site_label
_atom_site_type_symbol
_atom_site_fract_x
_atom_site_fract_y
_atom_site_fract_z
Zn1 Zn 0.000 0.000 0.000
Ga1 Ga 0.517 0.485 0.001
Ga2 Ga 0.775 0.259 0.514
Te1 Te 0.379 0.858 0.283
Se1 Se 0.144 0.110 0.741
Se2 Se 0.620 0.619 0.740
Se3 Se 0.904 0.391 0.264
```

Computed properties:
The total energy is -24.927 eV/cell.